No. 1
VASP calculation (meta-GGA SCAN) on a PBEsol-optimized structure of LaTaBe4.

Geometry as extended XYZ:
```
6
Lattice="4.839 0.000 0.000 2.419 4.190 0.000 2.419 1.397 3.951" Properties=species:S:1:pos:R:3 pbc="T T T"
Be 3.583 2.069 1.463
Be 4.839 2.794 3.513
Be 6.094 2.069 1.463
Be 4.839 4.243 1.463
La 7.258 4.190 2.963
Ta 0.000 0.000 0.000
```

* formation energy from the elements: 0.2807 eV per atom
* DOS at the Fermi energy: 4.38 states/eV per cell
* energy: -20.9031 eV per atom


No. 2
VASP calculation (meta-GGA SCAN) on a PBEsol-optimized structure of LaTaBe.

Geometry as extended XYZ:
```
3
Lattice="3.052 0.000 0.000 0.000 3.633 0.000 -1.526 -1.816 5.280" Properties=species:S:1:pos:R:3 pbc="T T T"
Be 1.526 1.816 4.867
La 1.526 1.816 1.715
Ta 0.000 0.000 3.977
```

* formation energy from the elements: 0.4252 eV per atom
* DOS at the Fermi energy: 2.92 states/eV per cell
* energy: -37.5887 eV per atom


No. 3
VASP calculation (meta-GGA SCAN) on a PBEsol-optimized structure of LaTa3Be.

Geometry as extended XYZ:
```
5
Lattice="-3.953 -1.565 -2.268 -1.982 -1.142 4.241 -1.915 4.412 0.293" Properties=species:S:1:pos:R:3 pbc="T T T"
Be -3.925 0.852 1.133
La 0.000 0.000 0.000
Ta -0.991 -0.571 2.121
Ta -0.958 2.206 0.147
Ta -1.976 -0.783 -1.134
```

* formation energy from the elements: 2.6230 eV per atom
* DOS at the Fermi energy: 4.01 states/eV per cell
* energy: -46.8187 eV per atom


No. 4
VASP calculation (meta-GGA SCAN) on a PBEsol-optimized structure of LaTa2Be.

Geometry as extended XYZ:
```
4
Lattice="3.311 0.000 0.000 0.000 4.659 0.000 0.000 0.000 4.821" Properties=species:S:1:pos:R:3 pbc="T T T"
Be 1.656 2.330 0.000
La 0.000 2.330 2.411
Ta 0.000 0.000 0.000
Ta 1.656 0.000 2.411
```

* formation energy from the elements: 0.6519 eV per atom
* DOS at the Fermi energy: 3.09 states/eV per cell
* energy: -44.5045 eV per atom


No. 5
VASP calculation (meta-GGA SCAN) on a PBEsol-optimized structure of LaBeTc2.

Geometry as extended XYZ:
```
4
Lattice="-3.047 -1.495 -2.356 0.887 -2.370 -3.266 -0.968 -5.550 1.151" Properties=species:S:1:pos:R:3 pbc="T T T"
Be -1.520 -3.964 -2.763
Tc -2.201 -4.584 -5.112
Tc -0.783 -2.368 -1.108
La -2.345 -7.057 -3.357
```

* formation energy from the elements: -0.1214 eV per atom
* DOS at the Fermi energy: 3.07 states/eV per cell
* energy: -29.5160 eV per atom


No. 6
VASP calculation (meta-GGA SCAN) on a PBEsol-optimized structure of La2BeTc.

Geometry as extended XYZ:
```
4
Lattice="-1.401 -0.300 3.267 -4.045 -1.798 -1.900 4.541 -3.431 -0.314" Properties=species:S:1:pos:R:3 pbc="T T T"
Be -1.306 -2.666 -0.805
Tc -2.536 -1.510 0.721
La -0.982 -5.339 1.037
La 0.291 -2.593 1.835
```

* formation energy from the elements: 0.0931 eV per atom
* DOS at the Fermi energy: 3.49 states/eV per cell
* energy: -31.3128 eV per atom


No. 7
VASP calculation (meta-GGA SCAN) on a PBEsol-optimized structure of La2BeTc.

Geometry as extended XYZ:
```
4
Lattice="3.984 0.000 0.000 0.000 4.202 0.000 0.000 -2.101 5.467" Properties=species:S:1:pos:R:3 pbc="T T T"
Be 1.992 2.101 0.796
Tc 0.000 2.101 1.984
La 0.000 2.101 5.308
La 1.992 0.000 2.862
```

* formation energy from the elements: 0.0505 eV per atom
* DOS at the Fermi energy: 3.29 states/eV per cell
* energy: -31.3554 eV per atom


No. 8
VASP calculation (meta-GGA SCAN) on a PBEsol-optimized structure of La2BeTe.

Geometry as extended XYZ:
```
4
Lattice="-2.663 -0.215 4.437 1.938 -4.542 -1.562 4.359 2.787 0.246" Properties=species:S:1:pos:R:3 pbc="T T T"
Be 3.148 -0.877 -0.658
Te 0.000 0.000 0.000
La 2.422 0.847 2.013
La 1.212 -2.817 1.109
```

* DOS at the Fermi energy: 4.07 states/eV per cell
* energy above the lowest structure with this stoichiometry: 0 meV per atom
* energy: -32.4227 eV per atom
* ΔE_f (raw): -0.47 eV/atom